Entry 1:
VASP calculation (SCAN) on SbOsSeI2 at its PBEsol-relaxed geometry.

a = 5.0742 Å, b = 5.2627 Å, c = 5.2627 Å
α = 90.00°, β = 90.00°, γ = 90.00°
With the nearest neighbours (Å) after each atom.
Fractional coordinates of all 5 atoms:
I 0.0000 0.0000 0.5000  2 Os 2.63
I 0.0000 0.5000 0.0000  2 Os 2.63
Sb 0.5000 0.0000 0.0000  2 Os 2.54
Os 0.0000 0.0000 0.0000  2 Sb 2.54, 4 I 2.63
Se 0.5000 0.5000 0.5000  8 I 3.66, 4 Sb 3.72

Computed properties:
Fermi-level density of states in states/eV per atom: 1.23
ΔE_f (raw) in eV per atom: 0.837

Entry 2:
VASP calculation (SCAN) on ZrAs2Ir at its PBEsol-relaxed geometry.

a = 3.0528 Å, b = 3.0528 Å, c = 8.5755 Å
α = 79.75°, β = 79.75°, γ = 60.00°
With the nearest neighbours (Å) after each atom.
Fractional coordinates of all 4 atoms:
As 0.2419 0.2419 0.2742  3 Ir 2.59
As 0.7581 0.7581 0.7258  3 Ir 2.59
Ir 0.5000 0.5000 0.5000  6 As 2.59
Zr 0.0000 0.0000 0.0000  6 As 2.90, 6 Zr 3.05

Computed properties:
Fermi-level density of states in states/eV per atom: 0.78
Energy relative to the lowest polymorph listed for this composition in eV per atom: 0.501
Energy of formation in eV per formula unit: -0.4

Entry 3:
VASP calculation (SCAN) on YMoOs2 at its PBEsol-relaxed geometry.

a = 3.0563 Å, b = 3.0563 Å, c = 7.2523 Å
α = 90.00°, β = 90.00°, γ = 90.00°
With the nearest neighbours (Å) after each atom.
Fractional coordinates of all 4 atoms:
Mo 0.5000 0.5000 0.5000  8 Os 2.64
Os 0.0000 0.0000 0.7097  4 Mo 2.64
Os 0.0000 0.0000 0.2903  4 Mo 2.64
Y 0.5000 0.5000 0.0000  8 Os 3.02, 4 Y 3.06

Computed properties:
Fermi-level density of states in states/eV per atom: 1.08
Energy relative to the lowest polymorph listed for this composition in eV per atom: 0.000
Energy of formation in eV per formula unit: -0.1

Entry 4:
VASP calculation (SCAN) on BeRePt3 at its PBEsol-relaxed geometry.

a = 4.1567 Å, b = 4.1567 Å, c = 4.1567 Å
α = 90.00°, β = 90.00°, γ = 90.00°
With the nearest neighbours (Å) after each atom.
Fractional coordinates of all 5 atoms:
Re 0.5000 0.5000 0.5000  12 Pt 2.94
Pt 0.0000 0.5000 0.0000  2 Be 2.08
Pt 0.0000 0.0000 0.5000  2 Be 2.08
Pt 0.5000 0.0000 0.0000  2 Be 2.08
Be 0.0000 0.0000 0.0000  6 Pt 2.08

Computed properties:
Fermi-level density of states in states/eV per atom: 0.97
Energy of formation in eV per formula unit: 2.5

Entry 5:
VASP calculation (SCAN) on LuCo4B at its PBEsol-relaxed geometry.

a = 4.8596 Å, b = 4.8596 Å, c = 6.7519 Å
α = 90.00°, β = 90.00°, γ = 120.00°
With the nearest neighbours (Å) after each atom.
Fractional coordinates of all 12 atoms:
B 0.6667 0.3333 0.5000  6 Co 2.02
B 0.3333 0.6667 0.5000  6 Co 2.02
Co 0.3333 0.6667 0.0000  6 Co 2.38
Co 0.6667 0.3333 0.0000  6 Co 2.38
Co 0.5000 0.0000 0.2854  2 B 2.02
Co 0.5000 0.5000 0.2854  2 B 2.02
Co 0.0000 0.5000 0.2854  2 B 2.02
Co 0.5000 0.0000 0.7146  2 B 2.02
Co 0.5000 0.5000 0.7146  2 B 2.02
Co 0.0000 0.5000 0.7146  2 B 2.02
Lu 0.0000 0.0000 0.5000  6 B 2.81, 12 Co 2.83
Lu 0.0000 0.0000 0.0000  18 Co 2.81-3.10

Computed properties:
Fermi-level density of states in states/eV per atom: 0.88
Energy of formation in eV per formula unit: -1.6

Entry 6:
VASP calculation (SCAN) on Cu2Pt7 at its PBEsol-relaxed geometry.

a = 4.7105 Å, b = 4.7105 Å, c = 6.6993 Å
α = 90.00°, β = 90.00°, γ = 120.00°
With the nearest neighbours (Å) after each atom.
Fractional coordinates of all 9 atoms:
Cu 0.6667 0.3333 0.0000  9 Pt 2.68-2.72, 3 Cu 2.72
Cu 0.3333 0.6667 0.0000  9 Pt 2.68-2.72, 3 Cu 2.72
Pt 0.0000 0.0000 0.0000  6 Pt 2.69, 6 Cu 2.72
Pt 0.3349 0.3349 0.6755  2 Cu 2.68, 10 Pt 2.69-2.83
Pt 0.0000 0.6651 0.6755  2 Cu 2.68, 10 Pt 2.69-2.83
Pt 0.6651 0.0000 0.6755  2 Cu 2.68, 10 Pt 2.69-2.83
Pt 0.0000 0.3349 0.3245  2 Cu 2.68, 10 Pt 2.69-2.83
Pt 0.6651 0.6651 0.3245  2 Cu 2.68, 10 Pt 2.69-2.83
Pt 0.3349 0.0000 0.3245  2 Cu 2.68, 10 Pt 2.69-2.83

Computed properties:
Fermi-level density of states in states/eV per atom: 0.89
Energy of formation in eV per formula unit: -0.8

Entry 7:
VASP calculation (SCAN) on BaLaFe2O6 at its PBEsol-relaxed geometry.

a = 5.4545 Å, b = 5.4545 Å, c = 5.4545 Å
α = 60.00°, β = 60.00°, γ = 60.00°
With the nearest neighbours (Å) after each atom.
Fractional coordinates of all 10 atoms:
Ba 0.5000 0.5000 0.5000  12 O 2.73
La 0.0000 0.0000 0.0000  12 O 2.73
Fe 0.7500 0.7500 0.7500  6 O 1.93
Fe 0.2500 0.2500 0.2500  6 O 1.93
O 0.5000 0.5000 0.0000  2 Fe 1.93
O 0.0000 0.0000 0.5000  2 Fe 1.93
O 0.5000 0.0000 0.5000  2 Fe 1.93
O 0.0000 0.5000 0.0000  2 Fe 1.93
O 0.5000 0.0000 0.0000  2 Fe 1.93
O 0.0000 0.5000 0.5000  2 Fe 1.93

Computed properties:
Fermi-level density of states in states/eV per atom: 0.24
ΔE_f (raw) in eV per atom: -2.482

Entry 8:
VASP calculation (SCAN) on Zn2CdPt2 at its PBEsol-relaxed geometry.

a = 3.6549 Å, b = 3.6549 Å, c = 6.6976 Å
α = 105.83°, β = 105.83°, γ = 90.00°
With the nearest neighbours (Å) after each atom.
Fractional coordinates of all 5 atoms:
Zn 0.2500 0.7500 0.5000  4 Pt 2.55, 4 Zn 2.58
Zn 0.7500 0.2500 0.5000  4 Pt 2.55, 4 Zn 2.58
Pt 0.3938 0.3938 0.7876  4 Zn 2.55, 1 Pt 2.63
Pt 0.6062 0.6062 0.2124  4 Zn 2.55, 1 Pt 2.63
Cd 0.0000 0.0000 0.0000  8 Pt 2.90

Computed properties:
Fermi-level density of states in states/eV per atom: 0.32
Energy relative to the lowest polymorph listed for this composition in eV per atom: 0.102
Energy of formation in eV per formula unit: -1.9

Entry 9:
VASP calculation (SCAN) on Rb2CuBr3 at its PBEsol-relaxed geometry.

a = 4.3225 Å, b = 12.9977 Å, c = 13.4633 Å
α = 90.00°, β = 90.00°, γ = 90.00°
With the nearest neighbours (Å) after each atom.
Fractional coordinates of all 24 atoms:
Rb 0.2500 0.0132 0.8248  7 Br 3.37-3.45
Rb 0.7500 0.9868 0.1752  7 Br 3.37-3.45
Rb 0.2500 0.1744 0.4757  7 Br 3.39-3.50, 2 Cu 3.72
Rb 0.7500 0.8256 0.5243  7 Br 3.39-3.50, 2 Cu 3.72
Rb 0.2500 0.5132 0.6752  7 Br 3.37-3.45
Rb 0.7500 0.3256 0.9757  7 Br 3.39-3.50, 2 Cu 3.72
Rb 0.2500 0.6744 0.0243  7 Br 3.39-3.50, 2 Cu 3.72
Rb 0.7500 0.4868 0.3248  7 Br 3.37-3.45
Cu 0.7500 0.2435 0.6903  4 Br 2.43-2.49
Cu 0.7500 0.7435 0.8097  4 Br 2.43-2.49
Cu 0.2500 0.7565 0.3097  4 Br 2.43-2.49
Cu 0.2500 0.2565 0.1903  4 Br 2.43-2.49
Br 0.2500 0.7726 0.7222  2 Cu 2.49
Br 0.7500 0.7274 0.2222  2 Cu 2.49
Br 0.7500 0.5639 0.8618  1 Cu 2.44
Br 0.2500 0.6380 0.4493  1 Cu 2.43
Br 0.7500 0.2274 0.2778  2 Cu 2.49
Br 0.2500 0.4361 0.1382  1 Cu 2.44
Br 0.2500 0.9361 0.3618  1 Cu 2.44
Br 0.7500 0.0639 0.6382  1 Cu 2.44
Br 0.2500 0.2726 0.7778  2 Cu 2.49
Br 0.7500 0.8620 0.9493  1 Cu 2.43
Br 0.2500 0.1380 0.0507  1 Cu 2.43
Br 0.7500 0.3620 0.5507  1 Cu 2.43

Computed properties:
Fermi-level density of states in states/eV per atom: 0.00
ΔE_f (raw) in eV per atom: -1.404

Entry 10:
VASP calculation (SCAN) on Ta2CrP at its PBEsol-relaxed geometry.

a = 2.8626 Å, b = 2.8626 Å, c = 7.5288 Å
α = 90.00°, β = 90.00°, γ = 106.45°
With the nearest neighbours (Å) after each atom.
Fractional coordinates of all 4 atoms:
Cr 0.0000 0.0000 0.4654  2 P 2.24
P 0.5000 0.5000 0.2738  2 Cr 2.24, 2 Ta 2.50
Ta 0.0000 0.0000 0.0329  2 P 2.50
Ta 0.5000 0.5000 0.7279  2 Cr 2.62, 6 Ta 2.86-2.87

Computed properties:
Fermi-level density of states in states/eV per atom: 0.68
Energy of formation in eV per formula unit: -0.6

Entry 11:
VASP calculation (SCAN) on YCd2Co2 at its PBEsol-relaxed geometry.

a = 3.8028 Å, b = 3.8028 Å, c = 6.8766 Å
α = 106.05°, β = 106.05°, γ = 90.00°
With the nearest neighbours (Å) after each atom.
Fractional coordinates of all 5 atoms:
Y 0.0000 0.0000 0.0000  8 Cd 3.04
Co 0.2500 0.7500 0.5000  4 Cd 2.58, 4 Co 2.69
Co 0.7500 0.2500 0.5000  4 Cd 2.58, 4 Co 2.69
Cd 0.3875 0.3875 0.7750  4 Co 2.58, 1 Cd 2.85
Cd 0.6125 0.6125 0.2250  4 Co 2.58, 1 Cd 2.85

Computed properties:
Fermi-level density of states in states/eV per atom: 0.56
Energy of formation in eV per formula unit: 0.9

Entry 12:
VASP calculation (SCAN) on Nb3AgIr at its PBEsol-relaxed geometry.

a = 4.7439 Å, b = 4.7439 Å, c = 4.7439 Å
α = 90.00°, β = 90.00°, γ = 90.00°
With the nearest neighbours (Å) after each atom.
Fractional coordinates of all 5 atoms:
Nb 0.0000 0.5000 0.0000  2 Ag 2.37
Nb 0.0000 0.0000 0.5000  2 Ag 2.37
Nb 0.5000 0.0000 0.0000  2 Ag 2.37
Ir 0.5000 0.5000 0.5000  12 Nb 3.35
Ag 0.0000 0.0000 0.0000  6 Nb 2.37

Computed properties:
Fermi-level density of states in states/eV per atom: 1.43
Energy of formation in eV per formula unit: 10.3

The highest Fermi-level density of states belongs to which entry? Nb3AgIr

The highest Fermi-level density of states belongs to which entry? Nb3AgIr